Material: InNi2Se
Method: DFT, PBEsol
State: optimized geometry

Cell and atoms, written as POSCAR:
```
InNi2Se
1.0
2.974 0.000 0.000
1.487 3.722 -0.019
1.487 1.463 5.825
In Ni Se
1 2 1
direct
0.000 0.500 0.500
0.266 0.642 0.826
0.734 0.358 0.174
0.500 0.000 0.000
```

Computed properties:
E_form (uncorrected): -0.02 eV/atom
M_tot: 0.001 μB per cell
V: 16.1 Å³ per atom
E: -4.81 eV/atom

=====

Material: In2NiSe
Method: DFT, PBEsol
State: optimized geometry

Cell and atoms, written as POSCAR:
```
In2NiSe
1.0
4.824 0.000 0.000
2.412 4.178 0.000
2.412 1.393 3.939
In Ni Se
2 1 1
direct
0.000 0.000 0.000
0.250 0.250 0.250
0.500 0.500 0.500
0.750 0.750 0.750
```

Computed properties:
E_form (uncorrected): 0.26 eV/atom
M_tot: 0.000 μB per cell
V: 19.8 Å³ per atom
E: -3.73 eV/atom

=====

Material: InNi2Se
Method: DFT, PBEsol
State: optimized geometry

Cell and atoms, written as POSCAR:
```
InNi2Se
1.0
-0.006 -0.478 -3.195
-1.747 -2.687 0.405
-4.963 3.158 -0.462
In Ni Se
1 2 1
direct
0.500 0.500 0.803
0.000 0.000 0.022
0.500 0.500 0.271
0.000 0.000 0.403
```

Computed properties:
E_form (uncorrected): -0.13 eV/atom
M_tot: 0.000 μB per cell
V: 15.4 Å³ per atom
E: -4.92 eV/atom

=====

Material: InNiSe
Method: DFT, PBEsol
State: optimized geometry

Cell and atoms, written as POSCAR:
```
InNiSe
1.0
-2.351 2.860 -2.446
-1.650 -1.266 -3.920
-4.374 -0.569 -0.487
In Ni Se
1 1 1
direct
0.750 0.750 0.750
0.000 0.000 0.000
0.500 0.500 0.500
```

Computed properties:
E_form (uncorrected): 0.41 eV/atom
M_tot: 0.001 μB per cell
V: 20.6 Å³ per atom
E: -3.92 eV/atom

=====

Material: TlInNi2Se
Method: DFT, PBEsol
State: optimized geometry

Cell and atoms, written as POSCAR:
```
TlInNi2Se
1.0
-1.385 -4.257 -1.523
0.831 -1.805 4.291
-5.134 1.142 1.475
Ni Tl Se In
2 1 1 1
direct
0.000 0.500 0.000
0.500 0.000 0.000
0.000 0.000 0.000
0.500 0.500 0.500
0.000 0.000 0.500
```

Computed properties:
E_form (uncorrected): 1.14 eV/atom
M_tot: 0.341 μB per cell
V: 24.4 Å³ per atom
E: -3.22 eV/atom

=====

Material: InSiNi6
Method: DFT, PBEsol
State: optimized geometry

Cell and atoms, written as POSCAR:
```
InSiNi6
1.0
-2.957 -5.433 0.281
2.093 1.647 5.589
-8.749 4.858 1.845
In Ni Si
4 24 4
direct
0.259 0.741 0.000
0.741 0.259 0.000
0.500 0.500 0.749
0.500 0.500 0.251
0.248 0.752 0.736
0.889 0.645 0.866
0.111 0.355 0.866
0.752 0.248 0.736
0.355 0.111 0.866
0.645 0.889 0.866
0.500 0.500 0.500
0.112 0.367 0.618
0.367 0.112 0.618
0.248 0.752 0.264
0.888 0.633 0.382
0.112 0.367 0.382
0.752 0.248 0.264
0.367 0.112 0.382
0.633 0.888 0.382
0.500 0.500 0.000
0.111 0.355 0.134
0.355 0.111 0.134
0.000 0.000 0.500
0.633 0.888 0.618
0.888 0.633 0.618
0.000 0.000 0.000
0.645 0.889 0.134
0.889 0.645 0.134
0.258 0.742 0.500
0.742 0.258 0.500
0.000 0.000 0.745
0.000 0.000 0.255
```

Computed properties:
E_form (uncorrected): -0.28 eV/atom
M_tot: 1.839 μB per cell
V: 11.4 Å³ per atom
E: -5.99 eV/atom

=====

Material: InSi2Ni
Method: DFT, PBEsol
State: optimized geometry

Cell and atoms, written as POSCAR:
```
InSi2Ni
1.0
3.661 0.000 0.000
0.000 3.661 0.000
0.000 0.000 4.617
In Ni Si
1 1 2
direct
0.500 0.000 0.500
0.000 0.500 0.500
0.000 0.000 0.000
0.500 0.500 0.000
```

Computed properties:
E_form (uncorrected): 0.29 eV/atom
M_tot: 0.000 μB per cell
V: 15.5 Å³ per atom
E: -4.87 eV/atom

=====

Material: InSi2Ni
Method: DFT, PBEsol
State: optimized geometry

Cell and atoms, written as POSCAR:
```
InSi2Ni
1.0
4.445 0.000 0.000
2.222 3.849 0.000
2.222 1.283 3.629
In Ni Si
1 1 2
direct
0.500 0.500 0.500
0.750 0.750 0.750
0.000 0.000 0.000
0.250 0.250 0.250
```

Computed properties:
E_form (uncorrected): 0.37 eV/atom
M_tot: 0.000 μB per cell
V: 15.5 Å³ per atom
E: -4.79 eV/atom

=====

Material: InNi2Sn
Method: DFT, PBEsol
State: optimized geometry

Cell and atoms, written as POSCAR:
```
InNi2Sn
1.0
-2.308 2.895 -2.266
-2.995 0.832 4.113
5.524 6.520 2.703
In Ni Sn
3 6 3
direct
0.500 0.500 0.332
0.500 0.000 0.835
0.500 0.000 0.167
0.000 0.500 0.501
0.000 0.000 0.000
0.000 0.750 0.250
0.000 0.251 0.749
0.000 0.250 0.250
0.000 0.749 0.749
0.500 0.500 0.666
0.000 0.500 0.001
0.000 0.000 0.498
```

Computed properties:
E_form: -0.255 eV/atom
M_tot: 0.002 μB per cell
V: 16.7 Å³ per atom
E: -5.14 eV/atom

=====

Material: SrInNi2
Method: DFT, PBEsol
State: optimized geometry

Cell and atoms, written as POSCAR:
```
SrInNi2
1.0
4.732 0.000 0.000
2.366 4.098 0.000
2.366 1.366 3.863
In Ni Sr
1 2 1
direct
0.500 0.500 0.500
0.000 0.000 0.000
0.250 0.250 0.250
0.750 0.750 0.750
```

Computed properties:
E_form: 0.369 eV/atom
M_tot: 0.000 μB per cell
V: 18.7 Å³ per atom
E: -3.92 eV/atom

=====

Material: SrInNi3
Method: DFT, PBEsol
State: optimized geometry

Cell and atoms, written as POSCAR:
```
SrInNi3
1.0
-0.832 -3.908 -2.390
0.833 -2.517 3.827
-4.505 0.256 1.149
Sr Ni In
1 3 1
direct
0.000 0.000 0.000
0.000 0.500 0.000
0.000 0.000 0.500
0.500 0.000 0.000
0.500 0.500 0.500
```

Computed properties:
E_form: 1.535 eV/atom
M_tot: 0.000 μB per cell
V: 20.2 Å³ per atom
E: -3.12 eV/atom

=====

Material: SrIn2Ni
Method: DFT, PBEsol
State: optimized geometry

Cell and atoms, written as POSCAR:
```
SrIn2Ni
1.0
-2.123 3.535 -0.013
-3.894 -2.348 -2.496
-0.189 -0.095 5.182
In Ni Sr
2 1 1
direct
0.000 0.173 0.327
0.000 0.827 0.673
0.500 0.000 0.500
0.500 0.500 0.000
```

Computed properties:
E_form: -0.180 eV/atom
M_tot: 0.000 μB per cell
V: 24.8 Å³ per atom
E: -3.67 eV/atom

=====

Material: SrIn2Ni
Method: DFT, PBEsol
State: optimized geometry

Cell and atoms, written as POSCAR:
```
SrIn2Ni
1.0
-0.312 0.737 -3.807
-4.281 0.694 0.485
1.198 5.339 2.933
In Ni Sr
2 1 1
direct
0.988 0.000 0.102
0.561 0.500 0.248
0.664 0.000 0.452
0.287 0.500 0.698
```

Computed properties:
E_form: -0.067 eV/atom
M_tot: 0.000 μB per cell
V: 25.0 Å³ per atom
E: -3.56 eV/atom